No. 1
A geometry-optimized Sc3Ge4Pd2 structure, computed with PBE.

a = 10.5254 Å, b = 4.1343 Å, c = 8.0005 Å
α = 90.00°, β = 109.94°, γ = 90.00°
Last column: nearest neighbours and their distance in Å.
Space group C2/m (No. 12)
Symmetry-distinct sites (fractional):
Sc 0.0000 0.0000 0.0000  6 Ge 2.90-2.96
Sc 0.1291 0.5000 0.6925  7 Ge 2.77-3.07, 3 Pd 2.92-2.95
Ge 0.0668 0.0000 0.3911  3 Pd 2.49-2.66, 1 Ge 2.59
Ge 0.2034 0.5000 0.0593  1 Pd 2.47, 2 Ge 2.60, 1 Sc 2.77
Pd 0.1888 0.5000 0.3614  4 Ge 2.47-2.66

Properties
Energy in eV per cell: -109.6
Formation energy from the elements in eV/f.u.: -6.96

=====

No. 2
A geometry-optimized Sc2GePd structure, computed with PBE.

a = 3.0913 Å, b = 5.0782 Å, c = 10.7320 Å
α = 90.00°, β = 90.00°, γ = 90.00°
Last column: nearest neighbours and their distance in Å.
Space group Immm (No. 71)
Symmetry-distinct sites (fractional):
Sc 0.0000 0.0000 0.2440  1 Pd 2.62, 1 Ge 2.75
Ge 0.0000 0.0000 0.5000  2 Sc 2.75, 4 Pd 2.97
Pd 0.0000 0.0000 0.0000  2 Sc 2.62

Properties
Energy in eV per cell: -44.1
Formation energy from the elements in eV/f.u.: 0.44

=====

No. 3
A geometry-optimized ScGePd structure, computed with PBE.

a = 3.6030 Å, b = 3.6030 Å, c = 8.3143 Å
α = 90.00°, β = 90.00°, γ = 90.00°
Last column: nearest neighbours and their distance in Å.
Space group I4mm (No. 107)
Symmetry-distinct sites (fractional):
Sc 0.0000 0.0000 0.0000  5 Ge 2.71-2.93, 5 Pd 2.85-2.89
Ge 0.0000 0.0000 0.6744  5 Sc 2.71-2.93, 5 Pd 2.72-2.93
Pd 0.0000 0.0000 0.3477  5 Ge 2.72-2.93, 5 Sc 2.85-2.89

Properties
Energy in eV per cell: -36.0
Formation energy from the elements in eV/f.u.: -1.87

=====

No. 4
A geometry-optimized Sc3GePd structure, computed with PBE.

a = 4.9973 Å, b = 4.9973 Å, c = 4.9973 Å
α = 90.00°, β = 90.00°, γ = 90.00°
Last column: nearest neighbours and their distance in Å.
Space group Pm-3m (No. 221)
Symmetry-distinct sites (fractional):
Sc 0.0000 0.0000 0.5000  2 Pd 2.50
Ge 0.5000 0.5000 0.5000  12 Sc 3.53
Pd 0.0000 0.0000 0.0000  6 Sc 2.50

Properties
Offset from the most stable computed form in kJ/mol of formula units: 0
Energy in eV per cell: -29.2
Formation energy from the elements in eV/f.u.: -0.44

=====

> Which of these has the highest formation energy from the elements?

Sc2GePd